--- w ---
Below is a relaxed structure of Er3CoBi, with properties calculated at the PBE level.

a = 5.127 Å, b = 5.127 Å, c = 5.127 Å
α = 90.00°, β = 90.00°, γ = 90.00°
Sites, in units of the cell vectors:
Er 0.000 0.000 0.500
Er 0.000 0.500 0.000
Er 0.500 0.000 0.000
Co 0.000 0.000 0.000
Bi 0.500 0.500 0.500

---

--- x ---
Below is a relaxed structure of Er3CoBi, with properties calculated at the PBE level.

a = 7.955 Å, b = 4.269 Å, c = 8.357 Å
α = 90.00°, β = 114.59°, γ = 90.00°
Sites, in units of the cell vectors:
Er 0.038 0.250 0.249
Er 0.318 0.750 0.592
Er 0.328 0.250 0.913
Er 0.672 0.750 0.087
Er 0.682 0.250 0.408
Er 0.962 0.750 0.751
Co 0.068 0.250 0.586
Co 0.932 0.750 0.414
Bi 0.324 0.750 0.202
Bi 0.676 0.250 0.798

---

Short version: x is the most stable of them.